No. 1
The following is a PBE calculation of CaPr6Tm5 after structural relaxation, from the Alexandria database.

a b c (Å): 5.1907 8.2262 10.0131
angles (deg): 90.00 90.00 71.57
With the nearest neighbours (Å) after each atom.
Atoms (fractional coordinates):
Pr  0.1696  0.6605  0.2531  7 Tm 3.54-3.63, 4 Pr 3.61-3.71, 1 Ca 3.67
Pr  0.1696  0.6605  0.7469  7 Tm 3.54-3.63, 4 Pr 3.61-3.71, 1 Ca 3.67
Pr  0.5000  0.0000  0.7413  6 Tm 3.55-3.73, 2 Ca 3.67, 4 Pr 3.71
Pr  0.5000  0.0000  0.2587  6 Tm 3.55-3.73, 2 Ca 3.67, 4 Pr 3.71
Pr  0.8304  0.3395  0.2531  7 Tm 3.54-3.63, 4 Pr 3.61-3.71, 1 Ca 3.67
Pr  0.8304  0.3395  0.7469  7 Tm 3.54-3.63, 4 Pr 3.61-3.71, 1 Ca 3.67
Ca  0.0000  0.0000  0.0000  8 Pr 3.67, 4 Tm 3.73-3.74
Tm  0.3330  0.3336  0.5000  8 Pr 3.55-3.59, 4 Tm 3.67-3.68
Tm  0.6717  0.6561  0.0000  8 Pr 3.54-3.73, 2 Tm 3.56, 2 Ca 3.73-3.74
Tm  0.0000  0.0000  0.5000  8 Pr 3.55-3.62, 4 Tm 3.68
Tm  0.3283  0.3439  0.0000  8 Pr 3.54-3.73, 2 Tm 3.56, 2 Ca 3.73-3.74
Tm  0.6670  0.6664  0.5000  8 Pr 3.55-3.59, 4 Tm 3.67-3.68

Computed properties:
The total magnetization comes out at 0.00 μB per formula unit. The value obtained for the volume is 406 Å³/f.u. The formation energy comes out at 3.83 kJ per mole of atoms. The density is 7.083 g cm⁻³.

No. 2
The following is a PBE calculation of SmNiSbH after structural relaxation, from the Alexandria database.

a b c (Å): 4.3163 4.3163 4.2299
angles (deg): 90.00 90.00 120.00
With the nearest neighbours (Å) after each atom.
Atoms (fractional coordinates):
Sm  0.5719  0.1439  0.3041  3 H 2.50
Ni  0.2386  0.4771  0.8854  1 H 1.58
Sb  0.9052  0.8105  0.7912  3 Ni 2.52
H  0.2386  0.4772  0.2583  1 Ni 1.58

Computed properties:
The total magnetization comes out at 0.00 μB per formula unit. As for the raw total energy: -5.25 eV per atom. The value obtained for the volume is 68 Å³/f.u. The density is 8.074 g cm⁻³.

No. 3
The following is a PBE calculation of MnZn6Ni after structural relaxation, from the Alexandria database.

a b c (Å): 3.8045 5.3445 5.3445
angles (deg): 90.00 90.00 90.00
With the nearest neighbours (Å) after each atom.
Atoms (fractional coordinates):
Mn  0.5000  0.0000  0.0000  12 Zn 2.67-2.70
Zn  0.5000  0.0000  0.5000  2 Ni 2.67, 2 Mn 2.67, 8 Zn 2.68
Zn  0.5000  0.5000  0.0000  2 Mn 2.67, 2 Ni 2.67, 8 Zn 2.68
Zn  0.0000  0.2529  0.2529  8 Zn 2.64-2.70, 2 Ni 2.67, 2 Mn 2.70
Zn  0.0000  0.7471  0.7471  8 Zn 2.64-2.70, 2 Ni 2.67, 2 Mn 2.70
Zn  0.0000  0.7471  0.2529  8 Zn 2.64-2.70, 2 Ni 2.67, 2 Mn 2.70
Zn  0.0000  0.2529  0.7471  8 Zn 2.64-2.70, 2 Ni 2.67, 2 Mn 2.70
Ni  0.5000  0.5000  0.5000  12 Zn 2.67

Computed properties:
The total magnetization comes out at 2.88 μB per formula unit. The value obtained for the volume is 109 Å³/f.u. The formation energy comes out at -7.93 kJ per mole of atoms. The density is 7.733 g cm⁻³.

No. 4
The following is a PBE calculation of Li3CaCd after structural relaxation, from the Alexandria database.

a b c (Å): 5.1152 5.1152 5.1152
angles (deg): 90.00 90.00 90.00
With the nearest neighbours (Å) after each atom.
Atoms (fractional coordinates):
Ca  0.5000  0.5000  0.5000  12 Li 3.62
Li  0.0000  0.5000  0.0000  2 Cd 2.56
Li  0.0000  0.0000  0.5000  2 Cd 2.56
Li  0.5000  0.0000  0.0000  2 Cd 2.56
Cd  0.0000  0.0000  0.0000  6 Li 2.56

Computed properties:
The total magnetization comes out at 0.00 μB per formula unit. The value obtained for the volume is 134 Å³/f.u. The formation energy comes out at 3.43 kJ per mole of atoms. The density is 2.150 g cm⁻³.

No. 5
The following is a PBE calculation of Ag2SeO2 after structural relaxation, from the Alexandria database.

a b c (Å): 11.7075 11.7055 7.3208
angles (deg): 71.79 71.76 36.44
With the nearest neighbours (Å) after each atom.
Atoms (fractional coordinates):
Ag  0.3727  0.3772  0.4350  2 O 2.06
Ag  0.3772  0.3727  0.8151  2 O 2.06
Ag  0.4350  0.8151  0.3727  2 O 2.06
Ag  0.8773  0.8728  0.8150  2 O 2.06
Ag  0.8151  0.4350  0.3772  2 O 2.06
Ag  0.8728  0.8773  0.4349  2 O 2.06
Ag  0.8150  0.4349  0.8773  2 O 2.06
Ag  0.4349  0.8150  0.8728  2 O 2.06
Se  0.1250  0.6250  0.1250  2 O 2.03
Se  0.6250  0.1250  0.1250  2 O 2.03
Se  0.1250  0.1250  0.1250  2 O 2.03
Se  0.1250  0.1250  0.6250  2 O 2.03
O  0.1674  0.6627  0.8321  1 Se 2.03, 2 Ag 2.06
O  0.6627  0.1674  0.3378  1 Se 2.03, 2 Ag 2.06
O  0.8321  0.3378  0.1674  1 Se 2.03, 2 Ag 2.06
O  0.0826  0.5873  0.4179  1 Se 2.03, 2 Ag 2.06
O  0.3378  0.8321  0.6627  1 Se 2.03, 2 Ag 2.06
O  0.5873  0.0826  0.9122  1 Se 2.03, 2 Ag 2.06
O  0.4179  0.9122  0.0826  1 Se 2.03, 2 Ag 2.06
O  0.9122  0.4179  0.5873  1 Se 2.03, 2 Ag 2.06

Computed properties:
The total magnetization comes out at 0.00 μB per formula unit. As for the raw total energy: -3.64 eV per atom. The value obtained for the volume is 141 Å³/f.u. The density is 3.856 g cm⁻³.

No. 6
The following is a PBE calculation of NaBeHCl2 after structural relaxation, from the Alexandria database.

a b c (Å): 4.7358 3.2900 4.7358
angles (deg): 90.00 90.00 90.00
With the nearest neighbours (Å) after each atom.
Atoms (fractional coordinates):
Na  0.5000  0.5000  0.5000  8 Cl 2.88
Be  0.0000  0.0000  0.0000  2 H 1.64
H  0.0000  0.5000  0.0000  2 Be 1.64
Cl  0.0000  0.0000  0.5000  2 Be 2.37
Cl  0.5000  0.0000  0.0000  2 Be 2.37

Computed properties:
The total magnetization comes out at 0.00 μB per formula unit. As for the raw total energy: -3.29 eV per atom. The value obtained for the volume is 74 Å³/f.u. The density is 2.339 g cm⁻³.